The following is a DFT calculation (PBE-GGA) of RbInNi2Pb after structural relaxation.

Lattice parameters (Å, degrees): 5.019 5.019 6.420 90.00 90.00 90.00
Element x y z (fractional)
Rb  0.000  0.000  0.000
In  0.500  0.500  0.000
Ni  0.000  0.500  0.500
Ni  0.500  0.000  0.500
Pb  0.000  0.000  0.500

E_form in eV/f.u.: 4.500
Magnetization in μB/f.u.: 0.8
N(E_F) in states/eV/cell: 5.67
ρ in kg/m3: 5389